A plane-wave DFT calculation with GGA+U was carried out for Bi2MoO6 after structural relaxation.

As for the total energy: -56.95 eV/f.u. The crystal system is tetragonal. The value obtained for the magnetization is 0.0 μB/f.u.

It has space group I-42m (No. 121), with a = 4.255 Å, b = 4.255 Å, c = 16.049 Å, α = 90.00°, β = 90.00° and γ = 90.00°. The asymmetric unit holds Bi at (0.000, 0.000, 0.181), Mo at (0.000, 0.000, 0.500), O at (0.000, 0.500, 0.250) and O at (0.236, 0.236, 0.568).